The following is a PBE calculation of a relaxed InHOsRh2 crystal, from the Alexandria database.

abc: 4.992 3.093 4.992
angles: 90.00 90.00 90.00
Last column: magnetic moment on the atom in μB.
Element x y z (fractional)
In1 0.000 0.000 0.000  -0.01
H1 0.000 0.500 0.000  0.00
Rh1 0.000 0.000 0.500  0.22
Rh2 0.500 0.000 0.000  0.22
Os1 0.500 0.500 0.500  1.05

Summary:
The total DFT energy (no corrections) comes out at -5.122 eV per atom.

***

The following is a PBE calculation of a relaxed RbSr2Ir crystal, from the Alexandria database.

abc: 4.447 4.447 12.046
angles: 79.36 79.36 60.00
Element x y z (fractional)
Rb1 0.000 0.000 0.000
Sr1 0.124 0.124 0.627
Sr2 0.876 0.876 0.373
Ir1 0.500 0.500 0.500

Summary:
The calculation puts the energy above the lowest structure with this stoichiometry at 0.0 meV per atom. The formation enthalpy at 0 K comes out at 0.05 eV per atom.

***

The following is a PBE calculation of a relaxed GdZnCdPd crystal, from the Alexandria database.

abc: 4.855 4.855 4.855
angles: 60.00 60.00 60.00
Last column: magnetic moment on the atom in μB.
Element x y z (fractional)
Gd1 0.000 0.000 0.000  7.06
Cd1 0.500 0.500 0.500  0.01
Pd1 0.250 0.250 0.250  0.02
Zn1 0.750 0.750 0.750  0.02

Summary:
The formation enthalpy at 0 K comes out at -0.47 eV per atom.

***

The following is a PBE calculation of a relaxed RbTiP3 crystal, from the Alexandria database.

abc: 4.845 4.845 4.845
angles: 90.00 90.00 90.00
Element x y z (fractional)
Rb1 0.500 0.500 0.500
P1 0.000 0.500 0.000
P2 0.000 0.000 0.500
P3 0.500 0.000 0.000
Ti1 0.000 0.000 0.000

Summary:
The calculation puts the energy above the lowest structure with this stoichiometry at 0.0 meV per atom. The formation enthalpy at 0 K comes out at -0.12 eV per atom.